Record 1
SiWBr4: relaxed, PBE.

Summary:
The value obtained for the total energy is -0.090 Ha/atom. As for the energy relative to the elements, uncorrected: 1000 kJ/mol of formula units. The value obtained for the calculated density is 5.43 g cm⁻³. The magnetic moment is 4.5 μB/f.u.

a b c (Å): 6.126 6.126 6.126
angles (deg): 60.00 60.00 60.00
Positions (direct):
1 Si 0.000 0.000 0.000
2 W 0.750 0.750 0.750
3 Br 0.376 0.376 0.376
4 Br 0.376 0.376 0.873
5 Br 0.376 0.873 0.376
6 Br 0.873 0.376 0.376

***

Record 2
SiWBr3: relaxed, PBE.

Summary:
Its energy above the most stable polymorph in this dataset is 257 meV/atom. The value obtained for the total energy is -0.131 Ha/atom. As for the energy relative to the elements, uncorrected: 541 kJ/mol of formula units. The value obtained for the calculated density is 5.25 g cm⁻³. The magnetic moment is 5.1 μB/f.u.

a b c (Å): 5.227 5.227 5.227
angles (deg): 90.00 90.00 90.00
Positions (direct):
1 Si 0.000 0.000 0.000
2 W 0.500 0.500 0.500
3 Br 0.000 0.000 0.500
4 Br 0.000 0.500 0.000
5 Br 0.500 0.000 0.000

***

Record 3
Si2WBr: relaxed, PBE.

Summary:
Its energy above the most stable polymorph in this dataset is 41 meV/atom. The value obtained for the total energy is -0.221 Ha/atom. As for the energy relative to the elements, uncorrected: 133 kJ/mol of formula units. The value obtained for the calculated density is 6.87 g cm⁻³. The magnetic moment is 0.0 μB/f.u.

a b c (Å): 3.157 3.157 7.764
angles (deg): 90.00 90.00 90.00
Positions (direct):
1 Si 0.000 0.000 0.000
2 Si 0.500 0.500 0.161
3 W 0.000 0.000 0.332
4 Br 0.500 0.500 0.567

***

Record 4
SiW2Br: relaxed, PBE.

Summary:
Its energy above the most stable polymorph in this dataset is 753 meV/atom. The value obtained for the total energy is -0.266 Ha/atom. As for the energy relative to the elements, uncorrected: 390 kJ/mol of formula units. The value obtained for the calculated density is 11.62 g cm⁻³. The magnetic moment is 0.0 μB/f.u.

a b c (Å): 2.813 4.519 5.346
angles (deg): 90.00 90.00 90.00
Positions (direct):
1 Si 0.000 0.000 0.000
2 W 0.000 0.500 0.500
3 W 0.500 0.500 0.000
4 Br 0.500 0.000 0.500

***

Record 5
SiW2Br: relaxed, PBE.

Summary:
Its energy above the most stable polymorph in this dataset is 900 meV/atom. The value obtained for the total energy is -0.261 Ha/atom. As for the energy relative to the elements, uncorrected: 446 kJ/mol of formula units. The value obtained for the calculated density is 11.76 g cm⁻³. The magnetic moment is 0.0 μB/f.u.

a b c (Å): 4.563 4.563 4.563
angles (deg): 60.00 60.00 60.00
Positions (direct):
1 Si 0.000 0.000 0.000
2 W 0.500 0.500 0.500
3 W 0.750 0.750 0.750
4 Br 0.250 0.250 0.250

***

Record 6
SiW2Br: relaxed, PBE.

Summary:
Its energy above the most stable polymorph in this dataset is 568 meV/atom. The value obtained for the total energy is -0.273 Ha/atom. As for the energy relative to the elements, uncorrected: 318 kJ/mol of formula units. The value obtained for the calculated density is 11.78 g cm⁻³. The magnetic moment is 0.0 μB/f.u.

a b c (Å): 2.921 2.921 8.421
angles (deg): 90.00 90.00 111.01
Positions (direct):
1 Si 0.000 0.000 0.000
2 W 0.500 0.500 0.220
3 W 0.500 0.500 0.780
4 Br 0.000 0.000 0.500

***

Record 7
Si2WBr: relaxed, PBE.

Summary:
Its energy above the most stable polymorph in this dataset is 861 meV/atom. The value obtained for the total energy is -0.191 Ha/atom. As for the energy relative to the elements, uncorrected: 449 kJ/mol of formula units. The value obtained for the calculated density is 8.02 g cm⁻³. The magnetic moment is 0.0 μB/f.u.

a b c (Å): 4.542 4.542 4.542
angles (deg): 60.00 60.00 60.00
Positions (direct):
1 Si 0.250 0.250 0.250
2 Si 0.750 0.750 0.750
3 W 0.000 0.000 0.000
4 Br 0.500 0.500 0.500

***

Record 8
Si2WBr: relaxed, PBE.

Summary:
Its energy above the most stable polymorph in this dataset is 269 meV/atom. The value obtained for the total energy is -0.213 Ha/atom. As for the energy relative to the elements, uncorrected: 221 kJ/mol of formula units. The value obtained for the calculated density is 6.91 g cm⁻³. The magnetic moment is 0.0 μB/f.u.

a b c (Å): 3.716 4.333 4.978
angles (deg): 90.00 106.55 90.00
Positions (direct):
1 Si 0.000 0.000 0.000
2 Si 0.407 0.500 0.885
3 W 0.034 0.500 0.231
4 Br 0.807 0.000 0.502